{"formula": "CsFeS2N", "functional": "PBE", "state": "relaxed", "space_group": "P4/mmm", "raw_formation_energy_kj_per_mol_atoms": 216.59, "lattice": [[-4.271, -3.551, -0.821], [1.922, -3.269, 4.141], [-2.450, 2.270, 2.929]], "species": ["S", "S", "Fe", "Cs", "N"], "fractional_positions": [[0.500, 0.000, 0.000], [0.000, 0.500, 0.000], [0.500, 0.500, 0.500], [0.000, 0.000, 0.000], [0.000, 0.000, 0.500]]}

{"formula": "Cs2FeSiN", "functional": "PBE", "state": "relaxed", "space_group": "P4/mmm", "raw_formation_energy_kj_per_mol_atoms": 122.24, "lattice": [[6.997, 0.000, 0.000], [0.000, 4.443, 0.000], [0.000, 0.000, 6.997]], "species": ["Cs", "Cs", "Fe", "Si", "N"], "fractional_positions": [[0.000, 0.000, 0.500], [0.500, 0.000, 0.000], [0.000, 0.500, 0.000], [0.000, 0.000, 0.000], [0.500, 0.500, 0.500]]}

{"formula": "CsNa2Fe", "functional": "PBE", "state": "relaxed", "ef_ev_per_atom": 0.840, "space_group": "Fm-3m", "e_above_lowest_polymorph_ev_per_atom": 0.000, "lattice": [[0.000, 4.204, 4.204], [4.204, 0.000, 4.204], [4.204, 4.204, 0.000]], "species": ["Na", "Na", "Cs", "Fe"], "fractional_positions": [[0.250, 0.250, 0.250], [0.750, 0.750, 0.750], [0.500, 0.500, 0.500], [0.000, 0.000, 0.000]]}

{"formula": "CsNaFe3", "functional": "PBE", "state": "relaxed", "ef_ev_per_atom": 2.357, "space_group": "Pm-3m", "lattice": [[-0.060, -4.033, 2.847], [4.163, 1.490, 2.197], [-2.654, 2.427, 3.382]], "species": ["Fe", "Fe", "Fe", "Na", "Cs"], "fractional_positions": [[0.500, 0.000, 0.000], [0.000, 0.500, 0.000], [0.000, 0.000, 0.500], [0.500, 0.500, 0.500], [0.000, 0.000, 0.000]]}

{"formula": "CsNaFe2", "functional": "PBE", "state": "relaxed", "ef_ev_per_atom": 1.538, "space_group": "Fm-3m", "lattice": [[0.000, 3.951, 3.951], [3.951, 0.000, 3.951], [3.951, 3.951, 0.000]], "species": ["Na", "Fe", "Fe", "Cs"], "fractional_positions": [[0.000, 0.000, 0.000], [0.250, 0.250, 0.250], [0.750, 0.750, 0.750], [0.500, 0.500, 0.500]]}

{"formula": "CsNa2Fe", "functional": "PBE", "state": "relaxed", "ef_ev_per_atom": 0.879, "space_group": "I-42d", "e_above_lowest_polymorph_ev_per_atom": 0.039, "lattice": [[5.148, 0.000, 0.000], [0.000, 5.148, 0.000], [2.574, 2.574, 12.281]], "species": ["Na", "Na", "Na", "Na", "Fe", "Fe", "Cs", "Cs"], "fractional_positions": [[0.566, 0.125, 0.250], [0.375, 0.434, 0.750], [0.875, 0.816, 0.750], [0.184, 0.625, 0.250], [0.500, 0.500, 0.000], [0.250, 0.750, 0.500], [0.000, 0.000, 0.000], [0.750, 0.250, 0.500]]}

{"formula": "Cs3NaFe", "functional": "PBE", "state": "relaxed", "ef_ev_per_atom": 0.907, "space_group": "Pm-3m", "lattice": [[7.652, 0.000, 0.000], [0.000, 7.652, 0.000], [0.000, 0.000, 7.652]], "species": ["Na", "Cs", "Cs", "Cs", "Fe"], "fractional_positions": [[0.000, 0.000, 0.000], [0.500, 0.000, 0.000], [0.000, 0.000, 0.500], [0.000, 0.500, 0.000], [0.500, 0.500, 0.500]]}

{"formula": "CsNb2Fe", "functional": "PBE", "state": "relaxed", "ef_ev_per_atom": 1.577, "space_group": "Fm-3m", "e_above_lowest_polymorph_ev_per_atom": 0.000, "lattice": [[0.000, 3.375, 3.375], [3.375, 0.000, 3.375], [3.375, 3.375, 0.000]], "species": ["Fe", "Nb", "Nb", "Cs"], "fractional_positions": [[0.000, 0.000, 0.000], [0.750, 0.750, 0.750], [0.250, 0.250, 0.250], [0.500, 0.500, 0.500]]}

no.,energy (eV/atom)
1,-2.934
2,-3.517
3,-2.149
4,-3.155
5,-3.237
6,-2.110
7,-1.562
8,-5.787